1.
Computed, not measured: an optimized crystal structure of Nb2TcHW at the PBE level of DFT.

Lattice parameters (Å, degrees): 4.5278 4.5278 3.4187 90.00 90.00 90.00
Space group P4/mmm (No. 123)
Inequivalent atoms, fractional coordinates:
Nb: 0.0000 0.5000 0.0000 (multiplicity 2)
Tc: 0.0000 0.0000 0.5000 (multiplicity 1)
H: 0.5000 0.5000 0.0000 (multiplicity 1)
W: 0.5000 0.5000 0.5000 (multiplicity 1)

Computed properties:
energy relative to the lowest polymorph listed for this composition: 48 meV per atom
electronic total energy: -46.805 eV for the cell shown

2.
Computed, not measured: an optimized crystal structure of PuMg2Au3 at the PBE level of DFT.

Lattice parameters (Å, degrees): 3.3220 3.3220 10.7442 90.00 90.00 90.00
Space group P4/mmm (No. 123)
Inequivalent atoms, fractional coordinates:
Pu: 0.0000 0.0000 0.0000 (multiplicity 1)
Mg: 0.0000 0.0000 0.3480 (multiplicity 2)
Au: 0.5000 0.5000 0.1990 (multiplicity 2)
Au: 0.5000 0.5000 0.5000 (multiplicity 1)

Computed properties:
ΔE_f: -539 meV per atom
electronic total energy: -30.589 eV for the cell shown

3.
Computed, not measured: an optimized crystal structure of SbPOs2 at the PBE level of DFT.

Lattice parameters (Å, degrees): 6.3988 6.3988 6.3988 90.00 90.00 90.00
Space group F-43m (No. 216)
Inequivalent atoms, fractional coordinates:
Sb: 0.0000 0.0000 0.0000 (multiplicity 4)
P: 0.2500 0.2500 0.2500 (multiplicity 4)
Os: 0.0000 0.0000 0.5000 (multiplicity 4)
Os: 0.2500 0.2500 0.7500 (multiplicity 4)

Computed properties:
energy relative to the lowest polymorph listed for this composition: 910 meV per atom
ΔE_f (raw): 4.02 eV per formula unit
electronic total energy: -111.878 eV for the cell shown